LiYBiIr | PBE | optimized geometry

spin magnetization: 0.000 μB per formula unit
ρ: 10.52 Mg/m³
distance to the lowest polymorph of the same formula: 0 meV/atom

Unit cell a=4.8048 b=4.8048 c=4.8048 alpha=60.00 beta=60.00 gamma=60.00
Closest atoms and distances in Å follow each position.
Positions (direct):
Bi  0.0000  0.0000  0.0000  4 Li 2.94, 4 Ir 2.94
Y  0.5000  0.5000  0.5000  4 Ir 2.94, 4 Li 2.94
Li  0.7500  0.7500  0.7500  4 Bi 2.94, 4 Y 2.94
Ir  0.2500  0.2500  0.2500  4 Y 2.94, 4 Bi 2.94